DFT (PBE with a Hubbard U) results for a relaxed structure of LiMn2OF3.

Symmetry   P4_3, No. 78
Energy relative to the lowest polymorph listed for this composition   3.6 kJ/mol of atoms

a = 6.2951 Å, b = 6.2951 Å, c = 8.9700 Å
α = 90.00°, β = 90.00°, γ = 90.00°
Positions (direct):
1 Li 0.0118 0.2476 0.0000
2 Li 0.2476 0.9882 0.2500
3 Li 0.7524 0.0118 0.7500
4 Li 0.9882 0.7524 0.5000
5 Mn 0.2398 0.7257 0.8870
6 Mn 0.2488 0.5120 0.2367
7 Mn 0.2743 0.2398 0.6370
8 Mn 0.4880 0.2488 0.9867
9 Mn 0.5120 0.7512 0.4867
10 Mn 0.7257 0.7602 0.1370
11 Mn 0.7512 0.4880 0.7367
12 Mn 0.7602 0.2743 0.3870
13 O 0.2440 0.4660 0.0098
14 O 0.4660 0.7560 0.2598
15 O 0.5340 0.2440 0.7598
16 O 0.7560 0.5340 0.5098
17 F 0.0036 0.7613 0.2640
18 F 0.0230 0.2403 0.2476
19 F 0.2387 0.0036 0.0140
20 F 0.2386 0.5072 0.4950
21 F 0.2403 0.9770 0.4976
22 F 0.4928 0.2386 0.2450
23 F 0.5072 0.7614 0.7450
24 F 0.7597 0.0230 0.9976
25 F 0.7614 0.4928 0.9950
26 F 0.7613 0.9964 0.5140
27 F 0.9770 0.7597 0.7476
28 F 0.9964 0.2387 0.7640